No. 1
ScHg2Cl | Alexandria via LeMat-Bulk | PBE-GGA | optimized geometry; energy relative to the elements, uncorrected = -0.2964 eV/atom
1.0
5.022 0.000 0.000
2.511 4.349 0.000
2.511 1.450 4.100
Hg Sc Cl
2 1 1
direct
0.250 0.250 0.250 Hg
0.000 0.000 0.000 Hg
0.750 0.750 0.750 Sc
0.500 0.500 0.500 Cl

No. 2
Sr2MnMo | Alexandria via LeMat-Bulk | PBE-GGA | optimized geometry; DFT formation energy = 1034 meV/atom
1.0
-4.246 -0.611 -3.158
-2.931 -1.305 4.251
2.694 4.595 -0.047
Mo Sr Mn
1 2 1
direct
0.750 0.250 0.500 Mo
0.000 0.000 0.000 Sr
0.250 0.750 0.500 Sr
0.500 0.500 0.000 Mn